The following is a PBE calculation of a geometry-optimized CrFeCo2 structure, from the Alexandria database.

Calculated values
- N(E_F) (states/eV/f.u.) = 5.04
- SG = No. 47
- formation energy (eV/atom) = 0.05

a b c (Å): 2.489 3.495 5.010
angles (deg): 90.00 90.00 90.00
Each line ends with the local moment (μB).
Fractional positions:
Co1 0.000 0.000 0.002  0.50
Co2 0.000 0.000 0.498  0.50
Cr1 0.500 0.500 0.250  -0.75
Fe1 0.500 0.500 0.750  2.25